# BaIrOs GGA-PBE optimized geometry
# energy relative to the lowest polymorph listed for this composition: 0.00 kJ per mole of atoms
data_BaIrOs
_symmetry_space_group_name_H-M 'F -4 3 m'
_symmetry_Int_Tables_number 216
_symmetry_space_group_name_Hall 'F -4 2 3'
_cell_length_a 6.617
_cell_length_b 6.617
_cell_length_c 6.617
_cell_angle_alpha 90.00
_cell_angle_beta 90.00
_cell_angle_gamma 90.00
loop_
_atom_site_label
_atom_site_fract_x
_atom_site_fract_y
_atom_site_fract_z
_atom_site_occupancy
Ba1 0.000 0.000 0.000 1
Ir1 0.000 0.000 0.500 1
Os1 0.250 0.250 0.250 1

=====

# ZrInAg3Se4 GGA-PBE optimized geometry
# final energy: -38.5 eV/cell
data_ZrInAg3Se4
_symmetry_space_group_name_H-M 'P -4 3 m'
_symmetry_Int_Tables_number 215
_symmetry_space_group_name_Hall 'P -4 2 3'
_cell_length_a 6.439
_cell_length_b 6.439
_cell_length_c 6.439
_cell_angle_alpha 90.00
_cell_angle_beta 90.00
_cell_angle_gamma 90.00
loop_
_atom_site_label
_atom_site_fract_x
_atom_site_fract_y
_atom_site_fract_z
_atom_site_occupancy
Zr1 0.000 0.000 0.000 1
In1 0.500 0.500 0.500 1
Ag1 0.000 0.000 0.500 1
Se1 0.230 0.230 0.770 1

=====

# PuHgB GGA-PBE optimized geometry
# energy relative to the lowest polymorph listed for this composition: 70.13 kJ per mole of atoms
data_PuHgB
_symmetry_space_group_name_H-M 'F -4 3 m'
_symmetry_Int_Tables_number 216
_symmetry_space_group_name_Hall 'F -4 2 3'
_cell_length_a 6.608
_cell_length_b 6.608
_cell_length_c 6.608
_cell_angle_alpha 90.00
_cell_angle_beta 90.00
_cell_angle_gamma 90.00
loop_
_atom_site_label
_atom_site_fract_x
_atom_site_fract_y
_atom_site_fract_z
_atom_site_occupancy
Pu1 0.000 0.000 0.000 1
Hg1 0.250 0.250 0.250 1
B1 0.250 0.250 0.750 1

=====

# KHfAgTeSeS GGA-PBE optimized geometry
# energy relative to the lowest polymorph listed for this composition: 0.00 kJ per mole of atoms
data_KHfAgTeSeS
_symmetry_space_group_name_H-M 'P 1 21/m 1'
_symmetry_Int_Tables_number 11
_cell_length_a 8.466
_cell_length_b 3.957
_cell_length_c 10.192
_cell_angle_alpha 90.00
_cell_angle_beta 109.40
_cell_angle_gamma 90.00
loop_
_symmetry_equiv_pos_as_xyz
'x,y,z'
'-x,-y,-z'
'-x,y+1/2,-z'
'x,-y+1/2,z'
loop_
_atom_site_label
_atom_site_fract_x
_atom_site_fract_y
_atom_site_fract_z
_atom_site_occupancy
K1 0.205 0.250 0.240 1
Hf1 0.319 0.750 0.842 1
Ag1 0.075 0.250 0.603 1
Te1 0.289 0.750 0.553 1
Se1 0.444 0.750 0.127 1
S1 0.131 0.250 0.863 1

=====

# Na2HoAs4 GGA-PBE optimized geometry
# final energy: -58.8 eV/cell
data_Na2HoAs4
_symmetry_space_group_name_H-M 'C 1 2/m 1'
_symmetry_Int_Tables_number 12
_cell_length_a 11.658
_cell_length_b 6.789
_cell_length_c 4.330
_cell_angle_alpha 90.00
_cell_angle_beta 93.05
_cell_angle_gamma 90.00
loop_
_symmetry_equiv_pos_as_xyz
'x,y,z'
'-x,-y,-z'
'-x,y,-z'
'x,-y,z'
'x+1/2,y+1/2,z'
'-x+1/2,-y+1/2,-z'
'-x+1/2,y+1/2,-z'
'x+1/2,-y+1/2,z'
loop_
_atom_site_label
_atom_site_fract_x
_atom_site_fract_y
_atom_site_fract_z
_atom_site_occupancy
Na1 0.186 0.000 0.023 1
Ho1 0.000 0.500 0.000 1
As1 0.107 0.276 0.513 1

=====

# GaPAuO GGA-PBE optimized geometry
# energy relative to the lowest polymorph listed for this composition: 3.15 kJ per mole of atoms
data_GaPAuO
_symmetry_space_group_name_H-M 'P m c 21'
_symmetry_Int_Tables_number 26
_cell_length_a 3.920
_cell_length_b 6.911
_cell_length_c 5.139
_cell_angle_alpha 90.00
_cell_angle_beta 90.00
_cell_angle_gamma 90.00
loop_
_symmetry_equiv_pos_as_xyz
'x,y,z'
'-x,-y,z+1/2'
'-x,y,z'
'x,-y,z+1/2'
loop_
_atom_site_label
_atom_site_fract_x
_atom_site_fract_y
_atom_site_fract_z
_atom_site_occupancy
Ga1 0.000 0.151 0.000 1
P1 0.500 0.332 0.918 1
Au1 0.500 0.326 0.434 1
O1 0.000 0.096 0.360 1

=====

# Cu2Ag3 GGA-PBE optimized geometry
# ΔH_f (0 K): 0.084 eV/atom
# energy relative to the lowest polymorph listed for this composition: 5.03 kJ per mole of atoms
data_Cu2Ag3
_symmetry_space_group_name_H-M 'P m m n'
_symmetry_Int_Tables_number 59
_cell_length_a 2.852
_cell_length_b 3.777
_cell_length_c 14.492
_cell_angle_alpha 90.00
_cell_angle_beta 90.00
_cell_angle_gamma 90.00
loop_
_symmetry_equiv_pos_as_xyz
'x,y,z'
'-x,-y,-z'
'-x+1/2,-y+1/2,z'
'x+1/2,y+1/2,-z'
'x+1/2,-y,-z'
'-x+1/2,y,z'
'-x,y+1/2,-z'
'x,-y+1/2,z'
loop_
_atom_site_label
_atom_site_fract_x
_atom_site_fract_y
_atom_site_fract_z
_atom_site_occupancy
Cu1 0.250 0.250 0.044 1
Cu2 0.250 0.250 0.235 1
Ag1 0.250 0.250 0.444 1
Ag2 0.250 0.250 0.667 1
Ag3 0.250 0.250 0.861 1

=====

# CsZr8 GGA-PBE optimized geometry
# final energy: -55.5 eV/cell
data_CsZr8
_symmetry_space_group_name_H-M 'P 6/m m m'
_symmetry_Int_Tables_number 191
_symmetry_space_group_name_Hall '-P 6 2'
_cell_length_a 10.5623
_cell_length_b 10.5623
_cell_length_c 2.9147
_cell_angle_alpha 90.00
_cell_angle_beta 90.00
_cell_angle_gamma 120.00
loop_
_atom_site_label
_atom_site_fract_x
_atom_site_fract_y
_atom_site_fract_z
_atom_site_occupancy
Cs1 0.0000 0.0000 0.0000 1
Zr1 0.1770 0.3540 0.5000 1
Zr2 0.3333 0.6667 0.5000 1

=====

Number 1: calculated volume 72.44 Å³/f.u.. Number 2: calculated volume 266.98 Å³/f.u.. Number 3: calculated volume 72.12 Å³/f.u.. Number 4: calculated volume 161.04 Å³/f.u.. Number 5: calculated volume 171.13 Å³/f.u.. Number 6: calculated volume 69.61 Å³/f.u.. Number 7: calculated volume 78.05 Å³/f.u.. Number 8: calculated volume 281.60 Å³/f.u..